Sr2MnSi2: optimized geometry, GGA-PBE.

abc: 6.9753 6.9753 4.9731
angles: 90.00 90.00 90.00
Positions (direct):
Sr1 0.1736 0.3264 0.0000
Sr2 0.3264 0.8264 0.0000
Sr3 0.6736 0.1736 0.0000
Sr4 0.8264 0.6736 0.0000
Mn1 0.0000 0.0000 0.5000
Mn2 0.5000 0.5000 0.5000
Si1 0.1281 0.6281 0.5000
Si2 0.3719 0.1281 0.5000
Si3 0.6281 0.8719 0.5000
Si4 0.8719 0.3719 0.5000

Results
E_tot = -4.80 eV/atom
mass density = 3930 kg/m³